DFT (SCAN) results for K2InSn at its PBEsol-relaxed geometry.

**Calculated total energy**: -21.49 eV per atom
**Energy relative to the elements**: 0 meV per atom

a = 8.141 Å, b = 8.141 Å, c = 8.141 Å
α = 90.00°, β = 90.00°, γ = 90.00°
Space group Fm-3m (No. 225)
One atom of each set of equivalent atoms:
K (0.250, 0.250, 0.250) x8
In (0.000, 0.000, 0.000) x4
Sn (0.000, 0.000, 0.500) x4

DFT (SCAN) results for KInSn at its PBEsol-relaxed geometry.

**Calculated total energy**: -26.23 eV per atom
**Energy relative to the elements**: -351 meV per atom

a = 8.606 Å, b = 5.079 Å, c = 8.309 Å
α = 90.00°, β = 90.00°, γ = 90.00°
Space group Pnma (No. 62)
One atom of each set of equivalent atoms:
K (0.001, 0.250, 0.178) x4
In (0.166, 0.750, 0.410) x4
Sn (0.177, 0.250, 0.596) x4

DFT (SCAN) results for KSr2In at its PBEsol-relaxed geometry.

**Calculated total energy**: -21.83 eV per atom
**Energy relative to the elements**: -264 meV per atom

a = 4.037 Å, b = 4.037 Å, c = 11.014 Å
α = 90.00°, β = 90.00°, γ = 90.00°
Space group P4/mmm (No. 123)
One atom of each set of equivalent atoms:
K (0.000, 0.000, 0.000) x1
Sr (0.500, 0.500, 0.325) x2
In (0.000, 0.000, 0.500) x1

DFT (SCAN) results for K2TaIn at its PBEsol-relaxed geometry.

**Calculated total energy**: -28.26 eV per atom
**Energy relative to the elements**: 893 meV per atom

a = 2.970 Å, b = 2.970 Å, c = 12.368 Å
α = 90.00°, β = 90.00°, γ = 90.00°
Space group P4/mmm (No. 123)
One atom of each set of equivalent atoms:
K (0.000, 0.000, 0.249) x2
Ta (0.500, 0.500, 0.000) x1
In (0.500, 0.500, 0.500) x1

DFT (SCAN) results for K2TaIn at its PBEsol-relaxed geometry.

**Calculated total energy**: -28.06 eV per atom
**Energy relative to the elements**: 1098 meV per atom

a = 5.388 Å, b = 5.388 Å, c = 7.640 Å
α = 90.00°, β = 90.00°, γ = 90.00°
Space group I-4m2 (No. 119)
One atom of each set of equivalent atoms:
K (0.000, 0.000, 0.000) x2
K (0.000, 0.500, 0.250) x2
Ta (0.000, 0.000, 0.500) x2
In (0.000, 0.500, 0.750) x2

DFT (SCAN) results for K2TaIn at its PBEsol-relaxed geometry.

**Calculated total energy**: -28.27 eV per atom
**Energy relative to the elements**: 890 meV per atom

a = 2.953 Å, b = 6.268 Å, c = 5.597 Å
α = 90.00°, β = 92.25°, γ = 90.00°
Space group P2/m (No. 10)
One atom of each set of equivalent atoms:
K (0.234, 0.000, 0.248) x2
Ta (0.000, 0.500, 0.500) x1
In (0.500, 0.500, 0.000) x1

DFT (SCAN) results for K2TaIn at its PBEsol-relaxed geometry.

**Calculated total energy**: -28.31 eV per atom
**Energy relative to the elements**: 850 meV per atom

a = 2.946 Å, b = 6.503 Å, c = 13.318 Å
α = 90.00°, β = 90.00°, γ = 90.00°
Space group Imm2 (No. 44)
One atom of each set of equivalent atoms:
K (0.000, 0.000, 0.000) x2
K (0.000, 0.500, 0.201) x2
Ta (0.000, 0.500, 0.768) x2
In (0.000, 0.000, 0.451) x2

DFT (SCAN) results for K2InTc at its PBEsol-relaxed geometry.

**Calculated total energy**: -20.47 eV per atom
**Energy relative to the elements**: 806 meV per atom

a = 4.155 Å, b = 4.155 Å, c = 11.536 Å
α = 90.00°, β = 90.00°, γ = 90.00°
Space group I4/mmm (No. 139)
One atom of each set of equivalent atoms:
K (0.000, 0.500, 0.250) x4
In (0.000, 0.000, 0.000) x2
Tc (0.000, 0.000, 0.500) x2

DFT (SCAN) results for K2InTc at its PBEsol-relaxed geometry.

**Calculated total energy**: -20.37 eV per atom
**Energy relative to the elements**: 910 meV per atom

a = 3.838 Å, b = 4.275 Å, c = 11.750 Å
α = 90.00°, β = 90.00°, γ = 90.00°
Space group Cmmm (No. 65)
One atom of each set of equivalent atoms:
K (0.000, 0.000, 0.232) x4
In (0.000, 0.500, 0.500) x2
Tc (0.000, 0.500, 0.000) x2

DFT (SCAN) results for KInTc at its PBEsol-relaxed geometry.

**Calculated total energy**: -24.77 eV per atom
**Energy relative to the elements**: 821 meV per atom

a = 2.9787 Å, b = 2.9787 Å, c = 8.2086 Å
α = 90.00°, β = 90.00°, γ = 120.00°
Space group P3m1 (No. 156)
One atom of each set of equivalent atoms:
K (0.0000, 0.0000, 0.0000) x1
In (0.3333, 0.6667, 0.3762) x1
Tc (0.6667, 0.3333, 0.6529) x1

DFT (SCAN) results for KInTc2 at its PBEsol-relaxed geometry.

**Calculated total energy**: -26.73 eV per atom
**Energy relative to the elements**: 1224 meV per atom

a = 5.723 Å, b = 9.819 Å, c = 2.608 Å
α = 90.00°, β = 90.00°, γ = 90.00°
Space group Cmmm (No. 65)
One atom of each set of equivalent atoms:
K (0.000, 0.000, 0.000) x2
In (0.000, 0.500, 0.000) x2
Tc (0.250, 0.250, 0.500) x4

DFT (SCAN) results for K2InTc at its PBEsol-relaxed geometry.

**Calculated total energy**: -20.77 eV per atom
**Energy relative to the elements**: 510 meV per atom

a = 3.537 Å, b = 4.027 Å, c = 20.069 Å
α = 90.00°, β = 90.00°, γ = 90.00°
Space group Immm (No. 71)
One atom of each set of equivalent atoms:
K (0.000, 0.000, 0.147) x4
In (0.000, 0.500, 0.000) x2
Tc (0.000, 0.500, 0.500) x2

DFT (SCAN) results for KInTc3 at its PBEsol-relaxed geometry.

**Calculated total energy**: -27.21 eV per atom
**Energy relative to the elements**: 2166 meV per atom

a = 5.098 Å, b = 5.098 Å, c = 5.098 Å
α = 90.00°, β = 90.00°, γ = 90.00°
Space group Pm-3m (No. 221)
One atom of each set of equivalent atoms:
K (0.000, 0.000, 0.000) x1
In (0.500, 0.500, 0.500) x1
Tc (0.000, 0.500, 0.500) x3

DFT (SCAN) results for KInTc2 at its PBEsol-relaxed geometry.

**Calculated total energy**: -26.71 eV per atom
**Energy relative to the elements**: 1248 meV per atom

a = 2.803 Å, b = 5.052 Å, c = 5.183 Å
α = 90.00°, β = 90.00°, γ = 90.00°
Space group Pmmm (No. 47)
One atom of each set of equivalent atoms:
K (0.000, 0.000, 0.000) x1
In (0.500, 0.500, 0.000) x1
Tc (0.000, 0.500, 0.500) x1
Tc (0.500, 0.000, 0.500) x1